! PmDy7Ho4, optimized geometry, DFT GGA-PBE; values from VASP
! **M_tot**: 0.000 Bohr magnetons per cell
! **Energy**: -55.30 eV per cell
! **Symmetry**: P-1 (2)
&SYSTEM
  ibrav = 0, nat = 12, ntyp = 3
/
ATOMIC_SPECIES
Pm 145.00 Pm.upf
Dy 162.50 Dy.upf
Ho 164.93 Ho.upf
CELL_PARAMETERS angstrom
6.189 0.000 0.000
0.011 7.153 0.000
2.092 -0.001 8.556
ATOMIC_POSITIONS crystal
Pm 0.000 0.000 0.000
Dy 0.000 0.500 0.000
Dy 0.222 0.000 0.334
Dy 0.279 0.749 0.665
Dy 0.500 0.251 0.000
Dy 0.500 0.749 0.000
Dy 0.721 0.251 0.335
Dy 0.778 0.000 0.666
Ho 0.221 0.500 0.334
Ho 0.279 0.251 0.665
Ho 0.721 0.749 0.335
Ho 0.779 0.500 0.666